Entry from Alexandria: a crystal of SiMoPt2 relaxed with PBEsol (SCAN).

a = 4.812 Å, b = 4.812 Å, c = 4.888 Å
α = 107.68°, β = 107.68°, γ = 32.92°
Fractional positions:
Si (0.000, 0.000, 0.000)
Mo (0.287, 0.287, 0.657)
Pt (0.521, 0.521, 0.448)
Pt (0.733, 0.733, 0.133)


Entry from Alexandria: a crystal of Ce10Si5Ni relaxed with PBEsol (SCAN).

a = 8.284 Å, b = 7.487 Å, c = 8.124 Å
α = 63.94°, β = 54.28°, γ = 61.77°
Fractional positions:
Ce (0.005, 0.340, 0.314)
Ce (0.142, 0.858, 0.142)
Ce (0.143, 0.716, 0.857)
Ce (0.183, 0.513, 0.487)
Ce (0.340, 0.005, 0.341)
Ce (0.513, 0.183, 0.817)
Ce (0.659, 0.686, 0.660)
Ce (0.686, 0.659, 0.995)
Ce (0.716, 0.143, 0.284)
Ce (0.858, 0.142, 0.858)
Si (0.071, 0.310, 0.929)
Si (0.310, 0.071, 0.690)
Si (0.426, 0.426, 0.074)
Si (0.540, 0.540, 0.460)
Si (0.926, 0.926, 0.574)
Ni (0.759, 0.759, 0.241)


What did we get for VASP energy? Answer: -187.0; -519.6 eV for the cell shown, in the order shown.
What did we get for formation energy from raw total energies? Answer: -0.417; -0.485 eV/atom, in the order shown.